VASP calculation (GGA-PBE) on a relaxed structure of K2Na4Cd2Hg.

Cell: 6.6743 6.6743 7.9184 Å, 95.49 95.49 63.73°
With the nearest neighbours (Å) after each atom.
Element x y z (fractional)
K 0.1616 0.1616 0.3961  3 Cd 3.68-3.83, 3 Hg 3.83-4.10, 4 Na 3.85-3.95
K 0.8384 0.8384 0.6039  3 Cd 3.68-3.83, 3 Hg 3.83-4.10, 4 Na 3.85-3.95
Na 0.1342 0.6357 0.1404  3 Cd 3.24-3.40, 1 Hg 3.48, 4 Na 3.51-3.61
Na 0.3643 0.8658 0.8596  3 Cd 3.24-3.40, 1 Hg 3.48, 4 Na 3.51-3.61
Na 0.6357 0.1342 0.1404  3 Cd 3.24-3.40, 1 Hg 3.48, 4 Na 3.51-3.61
Na 0.8658 0.3643 0.8596  3 Cd 3.24-3.40, 1 Hg 3.48, 4 Na 3.51-3.61
Cd 0.3626 0.3626 0.7951  1 Hg 2.95, 2 Na 3.24
Cd 0.6374 0.6374 0.2049  1 Hg 2.95, 2 Na 3.24
Hg 0.5000 0.5000 0.5000  2 Cd 2.95

Formation energy   -0.087 eV/atom
Total magnetization   0.00 μB/cell

VASP calculation (GGA-PBE) on a relaxed structure of AcAl3Pt2.

Cell: 8.7000 8.7000 10.3622 Å, 107.10 107.10 28.55°
With the nearest neighbours (Å) after each atom.
Element x y z (fractional)
Ac 0.0000 0.0000 0.0000  6 Pt 3.18-3.27, 4 Al 3.38
Ac 0.1563 0.1563 0.7091  10 Al 3.27-3.65, 6 Pt 3.32-3.39
Ac 0.8437 0.8437 0.2909  10 Al 3.27-3.65, 6 Pt 3.32-3.39
Al 0.0463 0.0463 0.3623  4 Pt 2.64-2.65, 3 Al 2.76-2.82
Al 0.2148 0.2148 0.3948  4 Pt 2.50-2.68, 1 Al 2.76
Al 0.3245 0.3245 0.0292  4 Pt 2.66-2.76, 1 Al 2.75
Al 0.3660 0.3660 0.7921  4 Pt 2.47-2.69, 1 Al 2.75
Al 0.5000 0.5000 0.5000  4 Pt 2.57-2.76, 4 Al 2.82
Al 0.6340 0.6340 0.2079  4 Pt 2.47-2.69, 1 Al 2.75
Al 0.6755 0.6755 0.9708  4 Pt 2.66-2.76, 1 Al 2.75
Al 0.7852 0.7852 0.6052  4 Pt 2.50-2.68, 1 Al 2.76
Al 0.9537 0.9537 0.6377  4 Pt 2.64-2.65, 3 Al 2.76-2.82
Pt 0.1968 0.1968 0.1292  6 Al 2.63-2.68
Pt 0.3603 0.3603 0.5510  7 Al 2.47-2.65
Pt 0.4781 0.4781 0.2249  5 Al 2.64-2.76
Pt 0.5219 0.5219 0.7751  5 Al 2.64-2.76
Pt 0.6397 0.6397 0.4490  7 Al 2.47-2.65
Pt 0.8032 0.8032 0.8708  6 Al 2.63-2.68

Formation energy   -1.007 eV/atom
Excess energy over the best structure of this formula in the dataset   0.0 meV/atom
Total magnetization   0.00 μB/cell

VASP calculation (GGA-PBE) on a relaxed structure of ZrRe4Os.

Cell: 5.1944 5.1944 5.1944 Å, 60.00 60.00 60.00°
With the nearest neighbours (Å) after each atom.
Element x y z (fractional)
Zr 0.0000 0.0000 0.0000  12 Re 3.04, 4 Os 3.18
Re 0.3742 0.3742 0.3742  6 Re 2.58-2.61
Re 0.3742 0.3742 0.8773  6 Re 2.58-2.61
Re 0.3742 0.8773 0.3742  6 Re 2.58-2.61
Re 0.8773 0.3742 0.3742  6 Re 2.58-2.61
Os 0.7500 0.7500 0.7500  12 Re 3.05, 4 Zr 3.18

Formation energy   0.113 eV/atom
Total magnetization   0.00 μB/cell

VASP calculation (GGA-PBE) on a relaxed structure of K2Tl2Br2O.

Cell: 7.6110 7.6110 9.1386 Å, 125.32 125.32 34.23°
With the nearest neighbours (Å) after each atom.
Element x y z (fractional)
K 0.0690 0.0690 0.2784  2 O 3.07, 3 Br 3.23-3.32
K 0.9310 0.9310 0.7216  2 O 3.07, 3 Br 3.23-3.32
Tl 0.3200 0.3200 0.9342  1 O 2.30
Tl 0.6800 0.6800 0.0658  1 O 2.30
Br 0.3257 0.3257 0.3871  3 K 3.23-3.32, 2 Tl 3.26
Br 0.6743 0.6743 0.6129  3 K 3.23-3.32, 2 Tl 3.26
O 0.5000 0.5000 0.0000  2 Tl 2.30

Raw formation energy   -1.1026 eV/atom
Total magnetization   0.00 μB/cell

VASP calculation (GGA-PBE) on a relaxed structure of Zn2H6Ir.

Cell: 5.2287 5.2531 7.4252 Å, 82.28 84.18 69.82°
With the nearest neighbours (Å) after each atom.
Element x y z (fractional)
Zn 0.0205 0.1895 0.3565  2 H 1.68-1.77
Zn 0.3020 0.5585 0.2730  3 H 1.70-1.85
Zn 0.6980 0.4415 0.7270  3 H 1.70-1.85
Zn 0.9795 0.8105 0.6435  2 H 1.68-1.77
H 0.0038 0.3958 0.8834  2 Ir 1.76-1.89
H 0.0218 0.8862 0.8933  1 Ir 1.61
H 0.1715 0.8329 0.4092  3 Zn 1.77-1.93
H 0.2486 0.3087 0.4280  2 Zn 1.68-1.70
H 0.3280 0.5261 0.7041  1 Ir 1.74, 1 Zn 1.85
H 0.4739 0.7374 0.9504  1 Ir 1.72
H 0.5261 0.2626 0.0496  1 Ir 1.72
H 0.6720 0.4739 0.2959  1 Ir 1.74, 1 Zn 1.85
H 0.7514 0.6913 0.5720  2 Zn 1.68-1.70
H 0.8285 0.1671 0.5908  3 Zn 1.77-1.93
H 0.9782 0.1138 0.1067  1 Ir 1.61
H 0.9962 0.6042 0.1166  2 Ir 1.76-1.89
Ir 0.2380 0.5824 0.9305  4 H 1.61-1.76
Ir 0.7620 0.4176 0.0695  4 H 1.61-1.76

E_tot   -61.80 eV for the cell shown
Total magnetization   0.00 μB/cell

VASP calculation (GGA-PBE) on a relaxed structure of MgPaPb2.

Cell: 5.5381 5.5381 3.5051 Å, 90.00 90.00 90.00°
With the nearest neighbours (Å) after each atom.
Element x y z (fractional)
Mg 0.0000 0.0000 0.0000  8 Pb 3.28, 2 Mg 3.51
Pa 0.5000 0.5000 0.0000  8 Pb 3.28, 2 Pa 3.51
Pb 0.0000 0.5000 0.5000  4 Pa 3.28, 4 Mg 3.28, 2 Pb 3.51
Pb 0.5000 0.0000 0.5000  4 Pa 3.28, 4 Mg 3.28, 2 Pb 3.51

Formation energy   0.005 eV/atom
Excess energy over the best structure of this formula in the dataset   43.3 meV/atom
Total magnetization   0.00 μB/cell

VASP calculation (GGA-PBE) on a relaxed structure of Li2Pr3Se4.

Cell: 8.4700 8.4700 6.3912 Å, 93.14 93.14 75.70°
With the nearest neighbours (Å) after each atom.
Element x y z (fractional)
Li 0.0822 0.3353 0.0837  4 Se 2.47-2.61
Li 0.3353 0.0822 0.5837  4 Se 2.47-2.61
Li 0.6647 0.9178 0.4163  4 Se 2.47-2.61
Li 0.9178 0.6647 0.9163  4 Se 2.47-2.61
Pr 0.0978 0.9022 0.2500  6 Se 2.97-3.11
Pr 0.2614 0.5110 0.5235  6 Se 3.02-3.27
Pr 0.4890 0.7386 0.9765  6 Se 3.02-3.27
Pr 0.5110 0.2614 0.0235  6 Se 3.02-3.27
Pr 0.7386 0.4890 0.4765  6 Se 3.02-3.27
Pr 0.9022 0.0978 0.7500  6 Se 2.97-3.11
Se 0.0658 0.2486 0.4434  2 Li 2.47-2.51
Se 0.2247 0.5606 0.0308  2 Li 2.54-2.61
Se 0.2486 0.0658 0.9434  2 Li 2.47-2.51
Se 0.4394 0.7753 0.4692  2 Li 2.54-2.61
Se 0.5606 0.2247 0.5308  2 Li 2.54-2.61
Se 0.7514 0.9342 0.0566  2 Li 2.47-2.51
Se 0.7753 0.4394 0.9692  2 Li 2.54-2.61
Se 0.9342 0.7514 0.5566  2 Li 2.47-2.51

Raw formation energy   -1.4853 eV/atom
Total magnetization   0.00 μB/cell

VASP calculation (GGA-PBE) on a relaxed structure of Pm3YHg2.

Cell: 9.0954 9.0954 9.0954 Å, 133.15 70.43 130.62°
With the nearest neighbours (Å) after each atom.
Element x y z (fractional)
Pm 0.0225 0.7500 0.2725  4 Hg 3.12-3.17
Pm 0.2500 0.2500 0.0000  4 Hg 3.15
Pm 0.4775 0.7500 0.7275  4 Hg 3.12-3.17
Pm 0.5225 0.2500 0.2725  4 Hg 3.12-3.17
Pm 0.7500 0.7500 0.0000  4 Hg 3.15
Pm 0.9775 0.2500 0.7275  4 Hg 3.12-3.17
Y 0.0000 0.5000 0.5000  2 Hg 2.98
Y 0.5000 0.0000 0.5000  2 Hg 2.98
Hg 0.1378 0.2012 0.3390  1 Y 2.98, 6 Pm 3.12-3.17
Hg 0.3622 0.7012 0.0633  1 Y 2.98, 6 Pm 3.12-3.17
Hg 0.6378 0.2988 0.9367  1 Y 2.98, 6 Pm 3.12-3.17
Hg 0.8622 0.7988 0.6610  1 Y 2.98, 6 Pm 3.12-3.17

Formation energy   -0.087 eV/atom
Excess energy over the best structure of this formula in the dataset   258.8 meV/atom
Total magnetization   0.00 μB/cell

VASP calculation (GGA-PBE) on a relaxed structure of Y3IF.

Cell: 5.0034 5.0034 5.0034 Å, 90.00 90.00 90.00°
With the nearest neighbours (Å) after each atom.
Element x y z (fractional)
Y 0.0000 0.0000 0.5000  2 F 2.50
Y 0.0000 0.5000 0.0000  2 F 2.50
Y 0.5000 0.0000 0.0000  2 F 2.50
I 0.5000 0.5000 0.5000  12 Y 3.54
F 0.0000 0.0000 0.0000  6 Y 2.50

Raw formation energy   -0.7633 eV/atom
Excess energy over the best structure of this formula in the dataset   0.0 meV/atom
Total magnetization   0.00 μB/cell

VASP calculation (GGA-PBE) on a relaxed structure of TbGa3CoOs.

Cell: 6.4764 6.4764 5.6061 Å, 90.00 90.00 106.76°
With the nearest neighbours (Å) after each atom.
Element x y z (fractional)
Tb 0.2127 0.7873 0.7500  1 Co 2.69, 2 Ga 2.98
Tb 0.7873 0.2127 0.2500  1 Co 2.69, 2 Ga 2.98
Ga 0.2516 0.2516 0.0000  2 Co 2.39, 2 Os 2.53
Ga 0.2516 0.2516 0.5000  2 Co 2.39, 2 Os 2.53
Ga 0.3092 0.6908 0.2500  1 Co 2.28, 1 Os 2.40
Ga 0.6908 0.3092 0.7500  1 Co 2.28, 1 Os 2.40
Ga 0.7484 0.7484 0.0000  2 Co 2.39, 2 Os 2.53
Ga 0.7484 0.7484 0.5000  2 Co 2.39, 2 Os 2.53
Co 0.4718 0.5282 0.7500  5 Ga 2.28-2.39
Co 0.5282 0.4718 0.2500  5 Ga 2.28-2.39
Os 0.0786 0.9214 0.2500  5 Ga 2.40-2.53
Os 0.9214 0.0786 0.7500  5 Ga 2.40-2.53

Formation energy   -0.192 eV/atom
Total magnetization   0.00 μB/cell

VASP calculation (GGA-PBE) on a relaxed structure of Tm5Al4Hg.

Cell: 3.5273 3.5273 18.3854 Å, 90.00 90.00 90.00°
With the nearest neighbours (Å) after each atom.
Element x y z (fractional)
Tm 0.0000 0.0000 0.0000  8 Al 3.06
Tm 0.0000 0.0000 0.1943  8 Al 3.07-3.09
Tm 0.0000 0.0000 0.3910  4 Al 3.07, 4 Hg 3.20
Tm 0.0000 0.0000 0.6090  4 Al 3.07, 4 Hg 3.20
Tm 0.0000 0.0000 0.8057  8 Al 3.07-3.09
Al 0.5000 0.5000 0.0969  8 Tm 3.06-3.07
Al 0.5000 0.5000 0.2933  8 Tm 3.07-3.09
Al 0.5000 0.5000 0.7067  8 Tm 3.07-3.09
Al 0.5000 0.5000 0.9031  8 Tm 3.06-3.07
Hg 0.5000 0.5000 0.5000  8 Tm 3.20, 4 Hg 3.53

Formation energy   -0.401 eV/atom
Total magnetization   0.00 μB/cell

VASP calculation (GGA-PBE) on a relaxed structure of Ac2SnSbPd6.

Cell: 6.9127 6.9127 6.9083 Å, 116.17 116.17 96.11°
With the nearest neighbours (Å) after each atom.
Element x y z (fractional)
Ac 0.2212 0.7788 0.0000  8 Pd 3.18-3.51
Ac 0.7788 0.2212 0.0000  8 Pd 3.18-3.51
Sn 0.0000 0.0000 0.5000  6 Pd 2.58-2.61
Sb 0.5000 0.5000 0.5000  6 Pd 2.56-2.59
Pd 0.2408 0.2408 0.0019  1 Sb 2.59, 1 Sn 2.61, 2 Pd 2.78-2.80
Pd 0.2510 0.7490 0.5000  1 Sb 2.56, 1 Sn 2.58
Pd 0.3631 0.3631 0.7271  1 Sb 2.58, 1 Sn 2.60, 3 Pd 2.78-2.83
Pd 0.6369 0.6369 0.2729  1 Sb 2.58, 1 Sn 2.60, 3 Pd 2.78-2.83
Pd 0.7490 0.2510 0.5000  1 Sb 2.56, 1 Sn 2.58
Pd 0.7592 0.7592 0.9981  1 Sb 2.59, 1 Sn 2.61, 2 Pd 2.78-2.80

Raw formation energy   -0.5659 eV/atom
Total magnetization   0.00 μB/cell

VASP calculation (GGA-PBE) on a relaxed structure of SnRuC3.

Cell: 4.1462 4.1462 4.1462 Å, 90.00 90.00 90.00°
With the nearest neighbours (Å) after each atom.
Element x y z (fractional)
Sn 0.0000 0.0000 0.0000  6 C 2.07
Ru 0.5000 0.5000 0.5000  12 C 2.93
C 0.0000 0.0000 0.5000  2 Sn 2.07
C 0.0000 0.5000 0.0000  2 Sn 2.07
C 0.5000 0.0000 0.0000  2 Sn 2.07

Formation energy   3.320 eV/atom
Total magnetization   0.00 μB/cell

VASP calculation (GGA-PBE) on a relaxed structure of Al3Te.

Cell: 5.7438 5.7438 5.7438 Å, 90.00 90.00 90.00°
With the nearest neighbours (Å) after each atom.
Element x y z (fractional)
Al 0.0000 0.0000 0.5000  2 Te 2.87
Al 0.0000 0.5000 0.0000  2 Te 2.87
Al 0.5000 0.0000 0.0000  2 Te 2.87
Te 0.0000 0.0000 0.0000  6 Al 2.87

Raw formation energy   1.2009 eV/atom
Excess energy over the best structure of this formula in the dataset   1155.0 meV/atom
Total magnetization   0.00 μB/cell

VASP calculation (GGA-PBE) on a relaxed structure of CaLa3Sb.

Cell: 6.1242 6.1242 6.1242 Å, 90.00 90.00 90.00°
With the nearest neighbours (Å) after each atom.
Element x y z (fractional)
Ca 0.0000 0.0000 0.0000  12 La 4.33
La 0.0000 0.5000 0.5000  2 Sb 3.06
La 0.5000 0.0000 0.5000  2 Sb 3.06
La 0.5000 0.5000 0.0000  2 Sb 3.06
Sb 0.5000 0.5000 0.5000  6 La 3.06

Raw formation energy   -0.1560 eV/atom
Excess energy over the best structure of this formula in the dataset   0.0 meV/atom
Total magnetization   0.00 μB/cell

VASP calculation (GGA-PBE) on a relaxed structure of Tb8Dy4Tm3.

Cell: 12.3481 12.3481 12.3481 Å, 32.38 32.38 32.38°
With the nearest neighbours (Å) after each atom.
Element x y z (fractional)
Tb 0.2448 0.2448 0.2448  1 Dy 3.21, 3 Tm 3.39, 6 Tb 3.45
Tb 0.2475 0.7501 0.7501  6 Tb 3.42-3.46, 3 Dy 3.48-3.55, 2 Tm 3.51
Tb 0.2499 0.2499 0.7525  6 Tb 3.42-3.46, 3 Dy 3.48-3.55, 2 Tm 3.51
Tb 0.2499 0.7525 0.2499  6 Tb 3.42-3.46, 3 Dy 3.48-3.55, 2 Tm 3.51
Tb 0.7501 0.2475 0.7501  6 Tb 3.42-3.46, 3 Dy 3.48-3.55, 2 Tm 3.51
Tb 0.7501 0.7501 0.2475  6 Tb 3.42-3.46, 3 Dy 3.48-3.55, 2 Tm 3.51
Tb 0.7525 0.2499 0.2499  6 Tb 3.42-3.46, 3 Dy 3.48-3.55, 2 Tm 3.51
Tb 0.7552 0.7552 0.7552  1 Dy 3.21, 3 Tm 3.39, 6 Tb 3.45
Dy 0.0000 0.0000 0.0000  6 Tb 3.55, 6 Dy 3.98
Dy 0.3362 0.3362 0.3362  4 Tb 3.21-3.48
Dy 0.5000 0.5000 0.5000  6 Tm 3.44, 6 Tb 3.52
Dy 0.6638 0.6638 0.6638  4 Tb 3.21-3.48
Tm 0.0000 0.0000 0.5000  6 Tb 3.39-3.51, 2 Dy 3.44, 4 Tm 3.44
Tm 0.0000 0.5000 0.0000  6 Tb 3.39-3.51, 4 Tm 3.44, 2 Dy 3.44
Tm 0.5000 0.0000 0.0000  6 Tb 3.39-3.51, 4 Tm 3.44, 2 Dy 3.44

Formation energy   0.145 eV/atom
Excess energy over the best structure of this formula in the dataset   0.0 meV/atom
Total magnetization   0.00 μB/cell

VASP calculation (GGA-PBE) on a relaxed structure of Pr6Sb3H.

Cell: 9.7171 9.7171 6.9859 Å, 90.00 90.00 102.93°
With the nearest neighbours (Å) after each atom.
Element x y z (fractional)
Pr 0.0695 0.9305 0.5000  1 H 2.35
Pr 0.0958 0.5526 0.3957  1 H 2.46
Pr 0.2475 0.7525 0.8797  1 H 2.43
Pr 0.2893 0.3603 0.9105  4 Sb 3.15-3.28
Pr 0.3603 0.2893 0.4105  4 Sb 3.15-3.28
Pr 0.4474 0.9042 0.3957  1 H 2.46
Pr 0.5526 0.0958 0.8957  1 H 2.46
Pr 0.6397 0.7107 0.9105  4 Sb 3.15-3.28
Pr 0.7107 0.6397 0.4105  4 Sb 3.15-3.28
Pr 0.7525 0.2475 0.3797  1 H 2.43
Pr 0.9042 0.4474 0.8957  1 H 2.46
Pr 0.9305 0.0695 0.0000  1 H 2.35
Sb 0.0490 0.2542 0.6071  7 Pr 3.15-3.34
Sb 0.2542 0.0490 0.1071  7 Pr 3.15-3.34
Sb 0.3986 0.6014 0.2110  7 Pr 3.15-3.28, 1 H 3.51
Sb 0.6014 0.3986 0.7110  7 Pr 3.15-3.28, 1 H 3.51
Sb 0.7458 0.9510 0.6071  7 Pr 3.15-3.34
Sb 0.9510 0.7458 0.1071  7 Pr 3.15-3.34
H 0.2230 0.7770 0.5365  4 Pr 2.35-2.46
H 0.7770 0.2230 0.0365  4 Pr 2.35-2.46

E_tot   -102.14 eV for the cell shown
Total magnetization   0.00 μB/cell

VASP calculation (GGA-PBE) on a relaxed structure of Li2ZrTa.

Cell: 4.5611 4.5611 4.5611 Å, 60.00 60.00 60.00°
With the nearest neighbours (Å) after each atom.
Element x y z (fractional)
Li 0.2500 0.2500 0.2500  4 Zr 2.79, 4 Ta 2.79
Li 0.7500 0.7500 0.7500  4 Zr 2.79, 4 Ta 2.79
Zr 0.0000 0.0000 0.0000  8 Li 2.79
Ta 0.5000 0.5000 0.5000  8 Li 2.79

Formation energy   0.529 eV/atom
Excess energy over the best structure of this formula in the dataset   320.1 meV/atom
Total magnetization   0.00 μB/cell

VASP calculation (GGA-PBE) on a relaxed structure of Ti5GeSb4.

Cell: 6.7617 6.7617 6.7617 Å, 99.43 99.43 132.25°
With the nearest neighbours (Å) after each atom.
Element x y z (fractional)
Ti 0.0000 0.0000 0.0000  2 Ge 2.74, 4 Sb 2.84
Ti 0.2326 0.3952 0.6278  1 Ge 2.51, 3 Sb 2.77-2.79
Ti 0.3952 0.7674 0.1626  1 Ge 2.51, 3 Sb 2.77-2.79
Ti 0.6048 0.2326 0.8374  1 Ge 2.51, 3 Sb 2.77-2.79
Ti 0.7674 0.6048 0.3722  1 Ge 2.51, 3 Sb 2.77-2.79
Ge 0.5000 0.5000 0.0000  6 Ti 2.51-2.74
Sb 0.0867 0.6869 0.7736  6 Ti 2.77-2.88
Sb 0.3131 0.0867 0.3998  6 Ti 2.77-2.88
Sb 0.6869 0.9133 0.6002  6 Ti 2.77-2.88
Sb 0.9133 0.3131 0.2264  6 Ti 2.77-2.88

Raw formation energy   -0.3516 eV/atom
Total magnetization   0.00 μB/cell

VASP calculation (GGA-PBE) on a relaxed structure of DyThScCd.

Cell: 3.5527 3.5527 8.5260 Å, 90.00 90.00 90.00°
With the nearest neighbours (Å) after each atom.
Element x y z (fractional)
Dy 0.0000 0.0000 0.0000  4 Cd 3.27, 4 Th 3.50, 4 Dy 3.55
Th 0.5000 0.5000 0.2852  4 Sc 3.35, 4 Dy 3.50, 4 Th 3.55
Sc 0.0000 0.0000 0.5456  4 Cd 3.08, 4 Th 3.35
Cd 0.5000 0.5000 0.7542  4 Sc 3.08, 4 Dy 3.27

Formation energy   -0.157 eV/atom
Excess energy over the best structure of this formula in the dataset   0.0 meV/atom
Total magnetization   0.00 μB/cell